Record 1
DFT (PBE) results for LaInW4 after structural relaxation.

size of the total moment = 0.0 μB/f.u.
crystal system = cubic
energy relative to the elements = 487 meV/atom

Unit cell a=5.5451 b=5.5451 c=5.5451 alpha=60.00 beta=60.00 gamma=60.00
Last column: nearest neighbours and their distance in Å.
Fractional coordinates of all 6 atoms:
La: 0.0000 0.0000 0.0000  12 W 3.25, 4 In 3.40
In: 0.2500 0.2500 0.2500  12 W 3.25, 4 La 3.40
W: 0.1238 0.6254 0.6254  6 W 2.76-2.78
W: 0.6254 0.1238 0.6254  6 W 2.76-2.78
W: 0.6254 0.6254 0.1238  6 W 2.76-2.78
W: 0.6254 0.6254 0.6254  6 W 2.76-2.78



Record 2
DFT (PBE) results for LaIn3W after structural relaxation.

size of the total moment = 0.0 μB/f.u.
crystal system = cubic
energy relative to the elements = 238 meV/atom

Unit cell a=5.2565 b=5.2565 c=5.2565 alpha=90.00 beta=90.00 gamma=90.00
Last column: nearest neighbours and their distance in Å.
Fractional coordinates of all 5 atoms:
La: 0.0000 0.0000 0.0000  12 In 3.72
In: 0.0000 0.5000 0.5000  2 W 2.63
In: 0.5000 0.0000 0.5000  2 W 2.63
In: 0.5000 0.5000 0.0000  2 W 2.63
W: 0.5000 0.5000 0.5000  6 In 2.63



Record 3
DFT (PBE) results for LaInW after structural relaxation.

size of the total moment = 0.0 μB/f.u.
crystal system = hexagonal
energy relative to the elements = 585 meV/atom

Unit cell a=5.2158 b=5.2158 c=2.9937 alpha=90.00 beta=90.00 gamma=120.00
Last column: nearest neighbours and their distance in Å.
Fractional coordinates of all 3 atoms:
La: 0.0000 0.0000 0.0000  2 La 2.99
In: 0.3333 0.6667 0.5000  2 In 2.99, 3 W 3.01
W: 0.6667 0.3333 0.5000  2 W 2.99, 3 In 3.01



Record 4
DFT (PBE) results for La4InW after structural relaxation.

size of the total moment = 0.0 μB/f.u.
crystal system = cubic
energy relative to the elements = 810 meV/atom

Unit cell a=6.2954 b=6.2954 c=6.2954 alpha=60.00 beta=60.00 gamma=60.00
Last column: nearest neighbours and their distance in Å.
Fractional coordinates of all 6 atoms:
La: 0.1234 0.1234 0.1234  6 La 3.11-3.19
La: 0.1234 0.1234 0.6298  6 La 3.11-3.19
La: 0.1234 0.6298 0.1234  6 La 3.11-3.19
La: 0.6298 0.1234 0.1234  6 La 3.11-3.19
In: 0.5000 0.5000 0.5000  12 La 3.70, 4 W 3.86
W: 0.7500 0.7500 0.7500  12 La 3.69, 4 In 3.86



> What is the size of the total moment in the first record?

0.0 μB/f.u.



> Number 1 is which compound?

LaInW4